No. 1
Compound: HgSbPb
Source: Alexandria
Functional: SCAN
Structure: PBEsol geometry

Output
- Relative energy among the computed polymorphs: 0 meV per atom
- Total energy: -180.98 eV for the cell shown
- Magnetization: 0.0 μB/f.u.
- Formation energy from raw total energies: 7.4 kJ/mol of atoms

Unit cell a=5.1032 b=5.1032 c=5.1032 alpha=60.00 beta=60.00 gamma=60.00
Last column: nearest neighbours and their distance in Å.
Fractional positions:
Hg 0.0000 0.0000 0.0000  4 Sb 3.13
Sb 0.7500 0.7500 0.7500  4 Pb 3.13, 4 Hg 3.13
Pb 0.5000 0.5000 0.5000  4 Sb 3.13

=====

No. 2
Compound: KTcOs2
Source: Alexandria
Functional: SCAN
Structure: PBEsol geometry

Output
- Relative energy among the computed polymorphs: 559 meV per atom
- Total energy: -180.27 eV for the cell shown
- Magnetization: 0.0 μB/f.u.
- DFT formation energy: 1.72 eV/atom

Unit cell a=4.9150 b=4.9150 c=2.6847 alpha=90.00 beta=90.00 gamma=90.00
Last column: nearest neighbours and their distance in Å.
Fractional positions:
K 0.0000 0.0000 0.0000  2 K 2.68, 8 Os 2.80
Tc 0.5000 0.5000 0.0000  2 Tc 2.68, 8 Os 2.80
Os 0.0000 0.5000 0.5000  2 Os 2.68, 4 Tc 2.80, 4 K 2.80
Os 0.5000 0.0000 0.5000  2 Os 2.68, 4 Tc 2.80, 4 K 2.80

=====

No. 3
Compound: BeRuO2F
Source: Alexandria
Functional: SCAN
Structure: PBEsol geometry

Output
- Total energy: -57.40 eV for the cell shown
- Magnetization: 0.6 μB/f.u.
- Formation energy from raw total energies: -42.8 kJ/mol of atoms

Unit cell a=3.7639 b=3.7639 c=4.1374 alpha=90.00 beta=90.00 gamma=90.00
Last column: nearest neighbours and their distance in Å.
Fractional positions:
Be 0.0000 0.0000 0.0000  4 F 2.66, 8 O 2.80
Ru 0.5000 0.5000 0.5000  4 O 1.88, 2 F 2.07
O 0.0000 0.5000 0.5000  2 Ru 1.88
O 0.5000 0.0000 0.5000  2 Ru 1.88
F 0.5000 0.5000 0.0000  2 Ru 2.07

=====

No. 4
Compound: SrHg2W
Source: Alexandria
Functional: SCAN
Structure: PBEsol geometry

Output
- Relative energy among the computed polymorphs: 0 meV per atom
- Total energy: -225.90 eV for the cell shown
- Magnetization: 0.0 μB/f.u.
- DFT formation energy: 0.60 eV/atom

Unit cell a=5.2283 b=5.2283 c=3.0910 alpha=90.00 beta=90.00 gamma=90.00
Last column: nearest neighbours and their distance in Å.
Fractional positions:
Sr 0.0000 0.0000 0.0000  8 Hg 3.04, 2 Sr 3.09
Hg 0.0000 0.5000 0.5000  4 W 3.04, 4 Sr 3.04, 2 Hg 3.09
Hg 0.5000 0.0000 0.5000  4 W 3.04, 4 Sr 3.04, 2 Hg 3.09
W 0.5000 0.5000 0.0000  8 Hg 3.04, 2 W 3.09

=====

No. 5
Compound: TcTeI2F
Source: Alexandria
Functional: SCAN
Structure: PBEsol geometry

Output
- Total energy: -148.14 eV for the cell shown
- Magnetization: 2.1 μB/f.u.
- Formation energy from raw total energies: 23.1 kJ/mol of atoms

Unit cell a=5.3376 b=5.3376 c=5.0198 alpha=90.00 beta=90.00 gamma=90.00
Last column: nearest neighbours and their distance in Å.
Fractional positions:
Tc 0.0000 0.0000 0.0000  2 Te 2.51, 4 I 2.67
Te 0.0000 0.0000 0.5000  2 Tc 2.51
I 0.0000 0.5000 0.0000  2 Tc 2.67
I 0.5000 0.0000 0.0000  2 Tc 2.67
F 0.5000 0.5000 0.5000  8 I 3.66, 4 Te 3.77

=====

No. 6
Compound: MgZn3
Source: Alexandria
Functional: SCAN
Structure: PBEsol geometry

Output
- Total energy: -91.84 eV for the cell shown
- Magnetization: 0.0 μB/f.u.
- DFT formation energy: -0.10 eV/atom

Unit cell a=5.7195 b=5.7195 c=4.3555 alpha=90.00 beta=90.00 gamma=120.00
Last column: nearest neighbours and their distance in Å.
Fractional positions:
Mg 0.3333 0.6667 0.2500  12 Zn 2.77-2.86
Mg 0.6667 0.3333 0.7500  12 Zn 2.77-2.86
Zn 0.1599 0.3198 0.7500  8 Zn 2.69-2.98, 4 Mg 2.77-2.86
Zn 0.1599 0.8401 0.7500  8 Zn 2.69-2.98, 4 Mg 2.77-2.86
Zn 0.3198 0.1599 0.2500  8 Zn 2.69-2.98, 4 Mg 2.77-2.86
Zn 0.6802 0.8401 0.7500  8 Zn 2.69-2.98, 4 Mg 2.77-2.86
Zn 0.8401 0.1599 0.2500  8 Zn 2.69-2.98, 4 Mg 2.77-2.86
Zn 0.8401 0.6802 0.2500  8 Zn 2.69-2.98, 4 Mg 2.77-2.86

=====

No. 7
Compound: Mg3HRh
Source: Alexandria
Functional: SCAN
Structure: PBEsol geometry

Output
- Relative energy among the computed polymorphs: 0 meV per atom
- Total energy: -53.62 eV for the cell shown
- Magnetization: 0.0 μB/f.u.

Unit cell a=4.1102 b=4.1102 c=4.1102 alpha=90.00 beta=90.00 gamma=90.00
Last column: nearest neighbours and their distance in Å.
Fractional positions:
Mg 0.0000 0.0000 0.5000  2 H 2.06
Mg 0.0000 0.5000 0.0000  2 H 2.06
Mg 0.5000 0.0000 0.0000  2 H 2.06
H 0.0000 0.0000 0.0000  6 Mg 2.06
Rh 0.5000 0.5000 0.5000  12 Mg 2.91

=====

No. 8
Compound: Ca2LaIr2
Source: Alexandria
Functional: SCAN
Structure: PBEsol geometry

Output
- Total energy: -206.47 eV for the cell shown
- Magnetization: 0.0 μB/f.u.
- DFT formation energy: -0.37 eV/atom

Unit cell a=7.1034 b=7.1034 c=7.1034 alpha=144.71 beta=144.71 gamma=50.77
Last column: nearest neighbours and their distance in Å.
Fractional positions:
Ca 0.2500 0.7500 0.5000  4 Ir 2.91, 4 Ca 3.05
Ca 0.7500 0.2500 0.5000  4 Ir 2.91, 4 Ca 3.05
La 0.0000 0.0000 0.0000  8 Ir 3.29
Ir 0.4026 0.4026 0.0000  1 Ir 2.50
Ir 0.5974 0.5974 0.0000  1 Ir 2.50

=====

No. 9
Compound: Be3ZnIn
Source: Alexandria
Functional: SCAN
Structure: PBEsol geometry

Output
- Relative energy among the computed polymorphs: 0 meV per atom
- Total energy: -56.51 eV for the cell shown
- Magnetization: 0.0 μB/f.u.
- DFT formation energy: 0.69 eV/atom

Unit cell a=4.2173 b=4.2173 c=4.2173 alpha=90.00 beta=90.00 gamma=90.00
Last column: nearest neighbours and their distance in Å.
Fractional positions:
Be 0.0000 0.0000 0.5000  2 Zn 2.11
Be 0.0000 0.5000 0.0000  2 Zn 2.11
Be 0.5000 0.0000 0.0000  2 Zn 2.11
Zn 0.0000 0.0000 0.0000  6 Be 2.11
In 0.5000 0.5000 0.5000  12 Be 2.98

=====

No. 10
Compound: ZrTa2Hg
Source: Alexandria
Functional: SCAN
Structure: PBEsol geometry

Output
- Total energy: -231.22 eV for the cell shown
- Magnetization: 0.0 μB/f.u.
- DFT formation energy: 0.20 eV/atom

Unit cell a=2.8528 b=2.8528 c=9.3529 alpha=90.00 beta=90.00 gamma=90.00
Last column: nearest neighbours and their distance in Å.
Fractional positions:
Zr 0.0000 0.0000 0.0000  4 Zr 2.85, 8 Ta 3.14
Ta 0.5000 0.5000 0.2567  4 Ta 2.85, 4 Hg 3.04, 4 Zr 3.14
Ta 0.5000 0.5000 0.7433  4 Ta 2.85, 4 Hg 3.04, 4 Zr 3.14
Hg 0.0000 0.0000 0.5000  4 Hg 2.85, 8 Ta 3.04

=====

No. 11
Compound: AgRuO4
Source: Alexandria
Functional: SCAN
Structure: PBEsol geometry

Output
- Total energy: -190.35 eV for the cell shown
- Magnetization: 0.0 μB/f.u.
- Formation energy from raw total energies: -65.2 kJ/mol of atoms

Unit cell a=6.8086 b=6.8086 c=6.8086 alpha=136.26 beta=136.26 gamma=63.57
Last column: nearest neighbours and their distance in Å.
Fractional positions:
Ag 0.3750 0.1250 0.2500  8 O 2.36-2.48
Ag 0.6250 0.8750 0.7500  8 O 2.36-2.48
Ru 0.1250 0.3750 0.7500  4 O 1.75
Ru 0.8750 0.6250 0.2500  4 O 1.75
O 0.0484 0.7014 0.8380  1 Ru 1.75
O 0.2014 0.8634 0.6531  1 Ru 1.75
O 0.2897 0.4516 0.1531  1 Ru 1.75
O 0.3634 0.2103 0.6620  1 Ru 1.75
O 0.6366 0.7897 0.3380  1 Ru 1.75
O 0.7103 0.5484 0.8469  1 Ru 1.75
O 0.7986 0.1366 0.3469  1 Ru 1.75
O 0.9516 0.2986 0.1620  1 Ru 1.75

=====

No. 12
Compound: Ba2CaRh
Source: Alexandria
Functional: SCAN
Structure: PBEsol geometry

Output
- Relative energy among the computed polymorphs: 349 meV per atom
- Total energy: -121.74 eV for the cell shown
- Magnetization: 0.0 μB/f.u.
- DFT formation energy: 0.20 eV/atom

Unit cell a=5.5252 b=5.5252 c=5.5252 alpha=120.07 beta=120.07 gamma=89.88
Last column: nearest neighbours and their distance in Å.
Fractional positions:
Ba 0.0000 0.0000 0.0000  4 Ba 3.38, 4 Rh 3.38
Ba 0.7500 0.2500 0.5000  4 Ca 3.38, 4 Ba 3.38
Ca 0.5000 0.5000 0.0000  4 Ba 3.38, 4 Rh 3.38
Rh 0.2500 0.7500 0.5000  4 Ca 3.38, 4 Ba 3.38